Record 1
Below is a relaxed structure of CePr2Cd2Pb2, with properties calculated at the PBE level.

abc: 9.504 9.504 9.504
angles: 31.59 31.59 31.59
Positions (direct):
Ce 0.000 0.000 0.000
Pr 0.131 0.131 0.131
Pr 0.869 0.869 0.869
Cd 0.422 0.422 0.422
Cd 0.578 0.578 0.578
Pb 0.272 0.272 0.272
Pb 0.728 0.728 0.728

Output
* ΔE_f: -0.186 eV/atom
* V: 209.1 Å³/cell

Record 2
Below is a relaxed structure of NaAl4Ga3, with properties calculated at the PBE level.

abc: 4.351 4.351 8.452
angles: 90.00 90.00 90.00
Positions (direct):
Na 0.000 0.000 0.000
Al 0.000 0.500 0.320
Al 0.000 0.500 0.680
Al 0.500 0.000 0.320
Al 0.500 0.000 0.680
Ga 0.000 0.000 0.500
Ga 0.500 0.500 0.149
Ga 0.500 0.500 0.851

Output
* ΔE_f: -0.032 eV/atom
* V: 160.0 Å³/cell

Record 3
Below is a relaxed structure of CeSmNp2P4, with properties calculated at the PBE level.

abc: 6.980 4.027 6.980
angles: 90.00 109.46 90.00
Positions (direct):
Ce 0.000 0.000 0.000
Sm 0.000 0.500 0.500
Np 0.500 0.000 0.500
Np 0.500 0.500 0.000
P 0.261 0.500 0.253
P 0.263 0.000 0.755
P 0.737 0.000 0.245
P 0.739 0.500 0.747

Output
* ΔE_f: -1.195 eV/atom
* V: 185.0 Å³/cell

Record 4
Below is a relaxed structure of LiI2N2, with properties calculated at the PBE level.

abc: 4.526 4.526 6.350
angles: 90.00 90.00 90.00
Positions (direct):
Li 0.000 0.000 0.000
I 0.000 0.000 0.500
I 0.500 0.500 0.500
N 0.000 0.500 0.000
N 0.500 0.000 0.000

Output
* uncorrected formation energy: 1617 meV/atom
* excess energy over the best structure of this formula in the dataset: 1.976 eV per atom
* V: 130.1 Å³/cell

Record 5
Below is a relaxed structure of NaZr2CoW, with properties calculated at the PBE level.

abc: 4.762 4.762 4.608
angles: 90.00 90.00 90.00
Positions (direct):
Na 0.000 0.000 0.000
Zr 0.000 0.500 0.500
Zr 0.500 0.000 0.500
Co 0.000 0.000 0.500
W 0.500 0.500 0.000

Output
* ΔE_f: 1.133 eV/atom
* V: 104.5 Å³/cell

Record 6
Below is a relaxed structure of Pu3GaTe4, with properties calculated at the PBE level.

abc: 6.304 6.304 6.304
angles: 90.00 90.00 90.00
Positions (direct):
Pu 0.000 0.000 0.500
Pu 0.000 0.500 0.000
Pu 0.500 0.000 0.000
Ga 0.500 0.500 0.500
Te 0.000 0.000 0.000
Te 0.000 0.500 0.500
Te 0.500 0.000 0.500
Te 0.500 0.500 0.000

Output
* uncorrected formation energy: -881 meV/atom
* V: 250.5 Å³/cell